Entry 1:
## KCoRe2Br (PBE)

Data for KCoRe2Br after structural relaxation.

Unit cell a=4.562 b=4.562 c=5.303 alpha=90.00 beta=90.00 gamma=90.00
Positions (direct):
K (0.000, 0.000, 0.000)
Co (0.500, 0.500, 0.500)
Re (0.000, 0.500, 0.000)
Re (0.500, 0.000, 0.000)
Br (0.000, 0.000, 0.500)

For the energy above the most stable polymorph in this dataset, the calculation gives 1614 meV per atom.

Entry 2:
## K2CoRhBr (PBE)

Data for K2CoRhBr after structural relaxation.

Unit cell a=6.329 b=6.329 c=4.701 alpha=90.00 beta=90.00 gamma=90.00
Positions (direct):
K (0.000, 0.500, 0.000)
K (0.500, 0.000, 0.000)
Co (0.000, 0.000, 0.500)
Rh (0.500, 0.500, 0.000)
Br (0.500, 0.500, 0.500)

Entry 3:
## KScCo2Br8 (PBE)

Data for KScCo2Br8 after structural relaxation.

Unit cell a=6.705 b=6.705 c=9.709 alpha=93.62 beta=93.62 gamma=68.95
Positions (direct):
K (0.000, 0.000, 0.000)
Sc (0.000, 0.000, 0.500)
Co (0.376, 0.376, 0.710)
Co (0.624, 0.624, 0.290)
Br (0.235, 0.742, 0.299)
Br (0.239, 0.239, 0.504)
Br (0.258, 0.765, 0.701)
Br (0.299, 0.299, 0.926)
Br (0.701, 0.701, 0.074)
Br (0.742, 0.235, 0.299)
Br (0.761, 0.761, 0.496)
Br (0.765, 0.258, 0.701)

Entry 4:
## KScCo2Br (PBE)

Data for KScCo2Br after structural relaxation.

Unit cell a=4.550 b=4.550 c=9.286 alpha=90.00 beta=90.00 gamma=90.00
Positions (direct):
K (0.000, 0.000, 0.000)
Sc (0.000, 0.000, 0.500)
Co (0.000, 0.500, 0.500)
Co (0.500, 0.000, 0.500)
Br (0.500, 0.500, 0.000)

Entry 5:
## KCoSeBr6 (PBE)

Data for KCoSeBr6 after structural relaxation.

Unit cell a=6.739 b=6.739 c=7.176 alpha=94.79 beta=94.79 gamma=110.62
Positions (direct):
K (0.000, 0.000, 0.000)
Co (0.353, 0.647, 0.500)
Se (0.711, 0.289, 0.500)
Br (0.076, 0.662, 0.278)
Br (0.083, 0.383, 0.666)
Br (0.338, 0.924, 0.722)
Br (0.386, 0.363, 0.291)
Br (0.617, 0.917, 0.334)
Br (0.637, 0.614, 0.709)

Entry 6:
## KCoSeBr2 (PBE)

Data for KCoSeBr2 after structural relaxation.

Unit cell a=5.900 b=5.900 c=5.873 alpha=90.00 beta=90.00 gamma=90.00
Positions (direct):
K (0.000, 0.000, 0.000)
Co (0.500, 0.500, 0.500)
Se (0.000, 0.000, 0.500)
Br (0.000, 0.500, 0.000)
Br (0.500, 0.000, 0.000)

For the energy above the most stable polymorph in this dataset, the calculation gives 1346 meV per atom.

Result set for V: 22.07 37.66 33.84 38.46 33.53 40.89 Å³ per atom, one per record in the order listed.
Result set for energy relative to the elements, uncorrected: 3.771 0.632 -0.958 0.684 -0.452 0.783 eV/atom, one per record in the order listed.